PBE-GGA RbPd, relaxed; formation energy from the elements = 0.637 eV/atom; total magnetization = 0.0 μB/f.u.; SG = Fm-3m
1.0
0.000 3.328 3.328
3.328 0.000 3.328
3.328 3.328 0.000
Rb Pd
1 1
Cartesian
0.000 0.000 0.000
3.328 3.328 3.328

PBE-GGA SmBe4Pd8, relaxed; formation energy from the elements = -0.525 eV/atom; total magnetization = 0.0 μB/f.u.; SG = I4/mmm
1.0
-4.244 4.244 2.557
4.244 -4.244 2.557
4.244 4.244 -2.557
Sm Be Pd
1 4 8
Cartesian
0.000 0.000 0.000
2.122 2.122 -1.278
2.122 -2.122 1.278
-2.122 2.122 1.278
2.122 2.122 1.278
2.848 0.000 0.000
5.641 0.000 0.000
4.244 2.333 0.000
0.000 2.848 0.000
2.333 4.244 0.000
1.911 0.000 2.557
0.000 5.641 0.000
0.000 1.911 2.557

Question: What is the formation energy from the elements in the first record?
Answer: 0.637 eV/atom